(1)
The following is a DFT calculation (PBE-GGA) of HgTePb2 after structural relaxation.

Its crystal system is tetragonal. Its density of states at the Fermi level is 1.80 states/eV/cell. The calculation puts the total energy at -11.3 eV for the cell shown. The raw formation energy is -97.9 meV per atom. The value obtained for the total magnetization is 0.00 μB per formula unit.

It has space group P4mm (No. 99), with a = 4.537 Å, b = 4.537 Å, c = 6.414 Å, α = 90.00°, β = 90.00° and γ = 90.00°. Symmetry generates all atoms from Hg at (0.000, 0.000, 0.000), Te at (0.500, 0.500, 0.503), Pb at (0.000, 0.000, 0.500) and Pb at (0.500, 0.500, 0.003).



(2)
The following is a DFT calculation (PBE-GGA) of HgTe4Pb3 after structural relaxation.

Its crystal system is tetragonal. Its density of states at the Fermi level is 3.22 states/eV/cell. The calculation puts the total energy at -26.2 eV for the cell shown. The raw formation energy is -277.8 meV per atom. The value obtained for the total magnetization is 0.00 μB per formula unit.

It has space group P4/mmm (No. 123), with a = 4.554 Å, b = 4.554 Å, c = 13.020 Å, α = 90.00°, β = 90.00° and γ = 90.00°. Symmetry generates all atoms from Hg at (0.000, 0.000, 0.000), Te at (0.000, 0.000, 0.247), Te at (0.500, 0.500, 0.000), Te at (0.500, 0.500, 0.500), Pb at (0.000, 0.000, 0.500) and Pb at (0.500, 0.500, 0.247).



(3)
The following is a DFT calculation (PBE-GGA) of HgTePb2 after structural relaxation.

Its crystal system is monoclinic. Its density of states at the Fermi level is 2.54 states/eV/cell. The calculation puts the total energy at -22.5 eV for the cell shown. The raw formation energy is -97.4 meV per atom. The value obtained for the total magnetization is 0.00 μB per formula unit.

It has space group Cm (No. 8), with a = 12.340 Å, b = 4.306 Å, c = 4.930 Å, α = 90.00°, β = 103.73° and γ = 90.00°. Symmetry generates all atoms from Hg at (0.000, 0.000, 0.000), Te at (0.243, 0.500, 0.445), Pb at (0.258, 0.000, 0.920) and Pb at (0.497, 0.000, 0.487).



(4)
The following is a DFT calculation (PBE-GGA) of HgTePb after structural relaxation.

Its crystal system is orthorhombic. Its density of states at the Fermi level is 5.84 states/eV/cell. The calculation puts the total energy at -29.7 eV for the cell shown. The raw formation energy is -90.6 meV per atom. The value obtained for the total magnetization is 0.00 μB per formula unit.

It has space group Fmm2 (No. 42), with a = 5.693 Å, b = 5.702 Å, c = 12.151 Å, α = 90.00°, β = 90.00° and γ = 90.00°. Symmetry generates all atoms from Hg at (0.000, 0.000, 0.000), Te at (0.000, 0.000, 0.683) and Pb at (0.000, 0.000, 0.306).



(5)
The following is a DFT calculation (PBE-GGA) of HgTePb after structural relaxation.

Its crystal system is trigonal. Its density of states at the Fermi level is 1.38 states/eV/cell. The calculation puts the total energy at -7.3 eV for the cell shown. The raw formation energy is -49.8 meV per atom. The value obtained for the total magnetization is 0.00 μB per formula unit.

It has space group P3m1 (No. 156), with a = 5.6830 Å, b = 5.6830 Å, c = 3.3011 Å, α = 90.00°, β = 90.00° and γ = 120.00°. Symmetry generates all atoms from Hg at (0.0000, 0.0000, 0.0000), Te at (0.3333, 0.6667, 0.4963) and Pb at (0.6667, 0.3333, 0.4958).



(6)
The following is a DFT calculation (PBE-GGA) of HgTePb after structural relaxation.

Its crystal system is monoclinic. Its density of states at the Fermi level is 0.97 states/eV/cell. The calculation puts the total energy at -31.3 eV for the cell shown. The raw formation energy is -228.6 meV per atom. The value obtained for the total magnetization is 0.00 μB per formula unit.

It has space group C2/m (No. 12), with a = 6.583 Å, b = 6.579 Å, c = 9.753 Å, α = 90.00°, β = 109.45° and γ = 90.00°. Symmetry generates all atoms from Hg at (0.250, 0.250, 0.000), Te at (0.169, 0.000, 0.335) and Pb at (0.168, 0.500, 0.333).



(7)
The following is a DFT calculation (PBE-GGA) of HgTe2Pb2 after structural relaxation.

Its crystal system is tetragonal. Its density of states at the Fermi level is 2.26 states/eV/cell. The calculation puts the total energy at -29.4 eV for the cell shown. The raw formation energy is -142.3 meV per atom. The value obtained for the total magnetization is 0.00 μB per formula unit.

It has space group P4/mbm (No. 127), with a = 8.958 Å, b = 8.958 Å, c = 4.147 Å, α = 90.00°, β = 90.00° and γ = 90.00°. Symmetry generates all atoms from Hg at (0.000, 0.000, 0.000), Te at (0.151, 0.349, 0.000) and Pb at (0.146, 0.646, 0.500).



(8)
The following is a DFT calculation (PBE-GGA) of HgTe3Pb after structural relaxation.

Its crystal system is cubic. Its density of states at the Fermi level is 3.45 states/eV/cell. The calculation puts the total energy at -11.7 eV for the cell shown. The raw formation energy is 347.1 meV per atom. The value obtained for the total magnetization is 0.00 μB per formula unit.

It has space group Pm-3m (No. 221), with a = 5.618 Å, b = 5.618 Å, c = 5.618 Å, α = 90.00°, β = 90.00° and γ = 90.00°. Symmetry generates all atoms from Hg at (0.000, 0.000, 0.000), Te at (0.000, 0.000, 0.500) and Pb at (0.500, 0.500, 0.500).



(9)
The following is a DFT calculation (PBE-GGA) of HgTePb2 after structural relaxation.

Its crystal system is monoclinic. Its density of states at the Fermi level is 1.37 states/eV/cell. The calculation puts the total energy at -11.0 eV for the cell shown. The raw formation energy is -35.3 meV per atom. The value obtained for the total magnetization is 0.00 μB per formula unit.

It has space group P2/m (No. 10), with a = 3.309 Å, b = 5.340 Å, c = 7.124 Å, α = 90.00°, β = 95.93° and γ = 90.00°. Symmetry generates all atoms from Hg at (0.000, 0.000, 0.000), Te at (0.500, 0.000, 0.500) and Pb at (0.382, 0.500, 0.226).



(10)
The following is a DFT calculation (PBE-GGA) of HgTePb2 after structural relaxation.

Its crystal system is cubic. Its density of states at the Fermi level is 8.51 states/eV/cell. The calculation puts the total energy at -42.7 eV for the cell shown. The raw formation energy is 43.6 meV per atom. The value obtained for the total magnetization is 0.00 μB per formula unit.

It has space group F-43m (No. 216), with a = 7.831 Å, b = 7.831 Å, c = 7.831 Å, α = 90.00°, β = 90.00° and γ = 90.00°. Symmetry generates all atoms from Hg at (0.000, 0.000, 0.000), Te at (0.250, 0.250, 0.250), Pb at (0.000, 0.000, 0.500) and Pb at (0.250, 0.250, 0.750).



(11)
The following is a DFT calculation (PBE-GGA) of HgTePb after structural relaxation.

Its crystal system is cubic. The calculation puts the total energy at -30.1 eV for the cell shown. The raw formation energy is -126.3 meV per atom. The value obtained for the total magnetization is 0.00 μB per formula unit.

It has space group F-43m (No. 216), with a = 7.583 Å, b = 7.583 Å, c = 7.583 Å, α = 90.00°, β = 90.00° and γ = 90.00°. Symmetry generates all atoms from Hg at (0.000, 0.000, 0.000), Te at (0.000, 0.000, 0.500) and Pb at (0.250, 0.250, 0.250).



(12)
The following is a DFT calculation (PBE-GGA) of HgTePb2 after structural relaxation.

Its crystal system is orthorhombic. Its density of states at the Fermi level is 3.05 states/eV/cell. The calculation puts the total energy at -22.3 eV for the cell shown. The raw formation energy is -76.1 meV per atom. The value obtained for the total magnetization is 0.00 μB per formula unit.

It has space group Imm2 (No. 44), with a = 4.466 Å, b = 4.760 Å, c = 11.785 Å, α = 90.00°, β = 90.00° and γ = 90.00°. Symmetry generates all atoms from Hg at (0.000, 0.000, 0.000), Te at (0.000, 0.500, 0.248), Pb at (0.000, 0.000, 0.540) and Pb at (0.000, 0.500, 0.781).



(13)
The following is a DFT calculation (PBE-GGA) of HgTePb2 after structural relaxation.

Its crystal system is orthorhombic. Its density of states at the Fermi level is 3.83 states/eV/cell. The calculation puts the total energy at -21.2 eV for the cell shown. The raw formation energy is 62.5 meV per atom. The value obtained for the total magnetization is 0.00 μB per formula unit.

It has space group Cmm2 (No. 35), with a = 3.940 Å, b = 5.369 Å, c = 11.442 Å, α = 90.00°, β = 90.00° and γ = 90.00°. Symmetry generates all atoms from Hg at (0.000, 0.000, 0.000), Te at (0.000, 0.500, 0.751), Pb at (0.000, 0.000, 0.501) and Pb at (0.000, 0.500, 0.248).



(14)
The following is a DFT calculation (PBE-GGA) of HgTePb after structural relaxation.

Its crystal system is monoclinic. The calculation puts the total energy at -30.2 eV for the cell shown. The raw formation energy is -135.7 meV per atom. The value obtained for the total magnetization is 0.00 μB per formula unit.

It has space group C2/m (No. 12), with a = 11.163 Å, b = 4.500 Å, c = 10.298 Å, α = 90.00°, β = 117.76° and γ = 90.00°. Symmetry generates all atoms from Hg at (0.158, 0.000, 0.021), Te at (0.197, 0.500, 0.659) and Pb at (0.020, 0.000, 0.688).



(15)
The following is a DFT calculation (PBE-GGA) of Hg2Te2Pb after structural relaxation.

Its crystal system is tetragonal. Its density of states at the Fermi level is 5.64 states/eV/cell. The calculation puts the total energy at -20.8 eV for the cell shown. The raw formation energy is 38.5 meV per atom. The value obtained for the total magnetization is 0.00 μB per formula unit.

It has space group I4/mmm (No. 139), with a = 5.811 Å, b = 5.811 Å, c = 9.333 Å, α = 90.00°, β = 90.00° and γ = 90.00°. Symmetry generates all atoms from Hg at (0.000, 0.000, 0.147), Te at (0.000, 0.500, 0.250) and Pb at (0.000, 0.000, 0.500).



(16)
The following is a DFT calculation (PBE-GGA) of Hg2Te2Pb after structural relaxation.

Its crystal system is tetragonal. Its density of states at the Fermi level is 1.85 states/eV/cell. The calculation puts the total energy at -21.7 eV for the cell shown. The raw formation energy is -52.7 meV per atom. The value obtained for the total magnetization is 0.00 μB per formula unit.

It has space group I4/mmm (No. 139), with a = 4.343 Å, b = 4.343 Å, c = 16.881 Å, α = 90.00°, β = 90.00° and γ = 90.00°. Symmetry generates all atoms from Hg at (0.000, 0.500, 0.250), Te at (0.000, 0.000, 0.088) and Pb at (0.000, 0.000, 0.500).



(17)
The following is a DFT calculation (PBE-GGA) of HgTePb2 after structural relaxation.

Its crystal system is orthorhombic. Its density of states at the Fermi level is 4.00 states/eV/cell. The calculation puts the total energy at -22.1 eV for the cell shown. The raw formation energy is -49.0 meV per atom. The value obtained for the total magnetization is 0.00 μB per formula unit.

It has space group Immm (No. 71), with a = 4.613 Å, b = 5.613 Å, c = 9.426 Å, α = 90.00°, β = 90.00° and γ = 90.00°. Symmetry generates all atoms from Hg at (0.000, 0.000, 0.000), Te at (0.000, 0.000, 0.500) and Pb at (0.000, 0.500, 0.254).



(18)
The following is a DFT calculation (PBE-GGA) of HgTe2Pb2 after structural relaxation.

Its crystal system is tetragonal. Its density of states at the Fermi level is 2.00 states/eV/cell. The calculation puts the total energy at -29.3 eV for the cell shown. The raw formation energy is -124.8 meV per atom. The value obtained for the total magnetization is 0.00 μB per formula unit.

It has space group I4/mmm (No. 139), with a = 5.656 Å, b = 5.656 Å, c = 12.406 Å, α = 90.00°, β = 90.00° and γ = 90.00°. Symmetry generates all atoms from Hg at (0.000, 0.000, 0.000), Te at (0.000, 0.500, 0.250) and Pb at (0.000, 0.000, 0.361).



(19)
The following is a DFT calculation (PBE-GGA) of Hg12Te3Pb5 after structural relaxation.

Its crystal system is cubic. Its density of states at the Fermi level is 78.39 states/eV/cell. The calculation puts the total energy at -234.1 eV for the cell shown. The raw formation energy is 116.4 meV per atom. The value obtained for the total magnetization is 0.00 μB per formula unit.

It has space group Ia-3d (No. 230), with a = 17.798 Å, b = 17.798 Å, c = 17.798 Å, α = 90.00°, β = 90.00° and γ = 90.00°. Symmetry generates all atoms from Hg at (0.026, 0.083, 0.647), Te at (0.000, 0.250, 0.125), Pb at (0.000, 0.000, 0.000) and Pb at (0.000, 0.250, 0.375).



(20)
The following is a DFT calculation (PBE-GGA) of Hg4TePb after structural relaxation.

Its crystal system is cubic. Its density of states at the Fermi level is 15.92 states/eV/cell. The calculation puts the total energy at -28.9 eV for the cell shown. The raw formation energy is 137.3 meV per atom. The value obtained for the total magnetization is 0.00 μB per formula unit.

It has space group F-43m (No. 216), with a = 8.791 Å, b = 8.791 Å, c = 8.791 Å, α = 90.00°, β = 90.00° and γ = 90.00°. Symmetry generates all atoms from Hg at (0.125, 0.125, 0.125), Te at (0.000, 0.000, 0.500) and Pb at (0.250, 0.250, 0.750).